The following is a PBE-GGA calculation of CaHo2Rh after structural relaxation, from the Alexandria database.

```
CaHo2Rh
1.0
4.017 0.000 0.000
2.009 3.479 0.000
2.009 1.160 9.051
Rh Ca Ho
1 1 2
Direct
0.666 0.666 0.002
0.502 0.502 0.495
0.053 0.053 0.841
0.279 0.279 0.162
```

Results
Magnetic moment, μB per formula unit: 0.0
V, Å³ per atom: 31.63
ΔE to the lowest computed polymorph, eV/atom: 0.010
SG: R3m